No. 1
VASP calculation (GGA-PBE) on crystalline Nb2Fe2Si at its relaxed geometry.

abc: 5.7761 5.7761 4.2595
angles: 90.00 90.00 90.00
Last column: nearest neighbours and their distance in Å.
Positions (direct):
Nb  0.1877  0.6877  0.5000  6 Fe 2.57-2.85
Nb  0.6877  0.8123  0.5000  6 Fe 2.57-2.85
Nb  0.8123  0.3123  0.5000  6 Fe 2.57-2.85
Nb  0.3123  0.1877  0.5000  6 Fe 2.57-2.85
Si  0.0000  0.0000  0.0000  4 Fe 2.25
Si  0.5000  0.5000  0.0000  4 Fe 2.25
Fe  0.3645  0.8645  0.0000  1 Fe 2.21, 2 Si 2.25
Fe  0.8645  0.6355  0.0000  1 Fe 2.21, 2 Si 2.25
Fe  0.6355  0.1355  0.0000  1 Fe 2.21, 2 Si 2.25
Fe  0.1355  0.3645  0.0000  1 Fe 2.21, 2 Si 2.25

Output
The calculation puts the uncorrected energy at -8.68 eV/atom. The density of states at the Fermi level comes out at 4.5 states/eV/cell. As for the magnetization: 0.00 μB per formula unit. Its formation energy without anion corrections is -0.9 eV/f.u.

No. 2
VASP calculation (GGA-PBE) on crystalline NbFe4Si at its relaxed geometry.

abc: 4.7935 4.7935 7.5206
angles: 90.00 90.00 120.00
Last column: nearest neighbours and their distance in Å.
Positions (direct):
Nb  0.3333  0.6667  0.4173  1 Si 2.73, 12 Fe 2.73-2.89, 3 Nb 3.03
Nb  0.6667  0.3333  0.5827  1 Si 2.73, 12 Fe 2.73-2.89, 3 Nb 3.03
Fe  0.0000  0.0000  0.5000  6 Fe 2.39
Fe  0.0000  0.0000  0.0000  6 Fe 2.31
Fe  0.8298  0.1702  0.2432  6 Fe 2.31-2.45
Fe  0.8298  0.6595  0.2432  6 Fe 2.31-2.45
Fe  0.3405  0.1702  0.2432  6 Fe 2.31-2.45
Fe  0.1702  0.8298  0.7568  6 Fe 2.31-2.45
Fe  0.1702  0.3405  0.7568  6 Fe 2.31-2.45
Fe  0.6595  0.8298  0.7568  6 Fe 2.31-2.45
Si  0.6667  0.3333  0.9457  12 Fe 2.62-2.80, 1 Nb 2.73, 3 Si 2.89
Si  0.3333  0.6667  0.0543  12 Fe 2.62-2.80, 1 Nb 2.73, 3 Si 2.89

Output
The calculation puts the uncorrected energy at -8.30 eV/atom. The density of states at the Fermi level comes out at 10.6 states/eV/cell. As for the magnetization: 5.49 μB per formula unit. Its formation energy without anion corrections is -0.4 eV/f.u.

No. 3
VASP calculation (GGA-PBE) on crystalline NbFeSiTe2 at its relaxed geometry.

abc: 5.2119 4.1959 5.2119
angles: 90.00 90.00 90.00
Last column: nearest neighbours and their distance in Å.
Positions (direct):
Nb  0.5000  0.5000  0.5000  8 Te 3.35, 4 Fe 3.69
Te  0.0000  0.0000  0.5000  2 Si 2.61
Te  0.5000  0.0000  0.0000  2 Si 2.61
Si  0.0000  0.0000  0.0000  2 Fe 2.10
Fe  0.0000  0.5000  0.0000  2 Si 2.10

Output
The calculation puts the uncorrected energy at -5.09 eV/atom. The density of states at the Fermi level comes out at 4.7 states/eV/cell. As for the magnetization: 3.65 μB per formula unit. Its formation energy without anion corrections is 4.8 eV/f.u.